Record 1
YTaOs2: relaxed, PBE.

Computed properties:
* symmetry: R3m

Structure (CIF):
```
data_YTaOs2
_symmetry_space_group_name_H-M 'P 1'
_symmetry_Int_Tables_number 1
_cell_length_a 9.877
_cell_length_b 9.877
_cell_length_c 9.877
_cell_angle_alpha 17.05
_cell_angle_beta 17.05
_cell_angle_gamma 17.05
loop_
_symmetry_equiv_pos_as_xyz
'x,y,z'
loop_
_atom_site_label
_atom_site_fract_x
_atom_site_fract_y
_atom_site_fract_z
Os1 0.255 0.255 0.255
Y1 0.746 0.746 0.746
Os2 0.991 0.991 0.991
Ta1 0.509 0.509 0.509
```

---

Record 2
Be2B2Rh: relaxed, PBE.

Computed properties:
* symmetry: P4/mbm

Structure (CIF):
```
data_Be2B2Rh
_symmetry_space_group_name_H-M 'P 1'
_symmetry_Int_Tables_number 1
_cell_length_a 5.481
_cell_length_b 5.481
_cell_length_c 2.808
_cell_angle_alpha 90.00
_cell_angle_beta 90.00
_cell_angle_gamma 90.00
loop_
_symmetry_equiv_pos_as_xyz
'x,y,z'
loop_
_atom_site_label
_atom_site_fract_x
_atom_site_fract_y
_atom_site_fract_z
Be1 0.825 0.325 0.500
Rh1 0.500 0.500 0.000
Be2 0.675 0.825 0.500
B1 0.393 0.893 0.000
Rh2 0.000 0.000 0.000
B2 0.607 0.107 0.000
B3 0.107 0.393 0.000
B4 0.893 0.607 0.000
Be3 0.175 0.675 0.500
Be4 0.325 0.175 0.500
```

---

Record 3
Li2SbW: relaxed, PBE.

Computed properties:
* symmetry: Cm
* formation energy without anion corrections: 0.3504 eV/atom

Structure (CIF):
```
data_Li2SbW
_symmetry_space_group_name_H-M 'P 1'
_symmetry_Int_Tables_number 1
_cell_length_a 4.933
_cell_length_b 4.933
_cell_length_c 5.303
_cell_angle_alpha 83.64
_cell_angle_beta 83.64
_cell_angle_gamma 33.47
loop_
_symmetry_equiv_pos_as_xyz
'x,y,z'
loop_
_atom_site_label
_atom_site_fract_x
_atom_site_fract_y
_atom_site_fract_z
Li1 0.245 0.245 0.230
W1 0.753 0.753 0.737
Sb1 0.501 0.501 0.521
Li2 0.001 0.001 0.012
```

---

Record 4
La2YSi: relaxed, PBE.

Computed properties:
* symmetry: P4mm
* formation energy without anion corrections: -0.2646 eV/atom

Structure (CIF):
```
data_La2YSi
_symmetry_space_group_name_H-M 'P 1'
_symmetry_Int_Tables_number 1
_cell_length_a 3.880
_cell_length_b 3.880
_cell_length_c 7.674
_cell_angle_alpha 90.00
_cell_angle_beta 90.00
_cell_angle_gamma 90.00
loop_
_symmetry_equiv_pos_as_xyz
'x,y,z'
loop_
_atom_site_label
_atom_site_fract_x
_atom_site_fract_y
_atom_site_fract_z
Y1 0.500 0.500 0.690
Si1 0.000 0.000 0.524
La1 0.000 0.000 0.984
La2 0.500 0.500 0.302
```

---

Record 5
KVSe2: relaxed, PBE.

Computed properties:
* symmetry: I-42d
* formation energy without anion corrections: -0.8279 eV/atom

Structure (CIF):
```
data_KVSe2
_symmetry_space_group_name_H-M 'P 1'
_symmetry_Int_Tables_number 1
_cell_length_a 7.284
_cell_length_b 7.284
_cell_length_c 6.909
_cell_angle_alpha 58.19
_cell_angle_beta 58.19
_cell_angle_gamma 90.00
loop_
_symmetry_equiv_pos_as_xyz
'x,y,z'
loop_
_atom_site_label
_atom_site_fract_x
_atom_site_fract_y
_atom_site_fract_z
K1 0.500 0.500 0.000
Se1 0.375 0.276 0.750
K2 0.250 0.750 0.500
Se2 0.724 0.125 0.250
V1 0.750 0.250 0.500
Se3 0.026 0.625 0.250
Se4 0.875 0.974 0.750
V2 0.000 0.000 0.000
```

---

Record 6
NaMg2B2Rh5: relaxed, PBE.

Computed properties:
* symmetry: P4/mbm

Structure (CIF):
```
data_NaMg2B2Rh5
_symmetry_space_group_name_H-M 'P 1'
_symmetry_Int_Tables_number 1
_cell_length_a 2.953
_cell_length_b 9.618
_cell_length_c 9.618
_cell_angle_alpha 90.00
_cell_angle_beta 90.00
_cell_angle_gamma 90.00
loop_
_symmetry_equiv_pos_as_xyz
'x,y,z'
loop_
_atom_site_label
_atom_site_fract_x
_atom_site_fract_y
_atom_site_fract_z
Rh1 0.500 0.500 0.000
B1 0.000 0.126 0.626
Rh2 0.500 0.225 0.071
Mg1 0.000 0.323 0.823
Rh3 0.500 0.571 0.725
Rh4 0.500 0.429 0.275
Na1 0.000 0.500 0.500
Mg2 0.000 0.177 0.323
B2 0.000 0.374 0.126
Mg3 0.000 0.677 0.177
Rh5 0.500 0.929 0.225
Rh6 0.500 0.725 0.429
Mg4 0.000 0.823 0.677
Na2 0.000 0.000 0.000
B3 0.000 0.874 0.374
Rh7 0.500 0.775 0.929
Rh8 0.500 0.071 0.775
B4 0.000 0.626 0.874
Rh9 0.500 0.000 0.500
Rh10 0.500 0.275 0.571
```

---

Record 7
KScSb: relaxed, PBE.

Computed properties:
* symmetry: F-43m
* formation energy without anion corrections: 0.5280 eV/atom

Structure (CIF):
```
data_KScSb
_symmetry_space_group_name_H-M 'P 1'
_symmetry_Int_Tables_number 1
_cell_length_a 5.219
_cell_length_b 5.219
_cell_length_c 5.219
_cell_angle_alpha 60.00
_cell_angle_beta 60.00
_cell_angle_gamma 60.00
loop_
_symmetry_equiv_pos_as_xyz
'x,y,z'
loop_
_atom_site_label
_atom_site_fract_x
_atom_site_fract_y
_atom_site_fract_z
Sc1 0.500 0.500 0.500
Sb1 0.000 0.000 0.000
K1 0.750 0.750 0.750
```

---

Number 1: energy -38.9 eV for the cell shown, V 72.3 Å³ per cell. Number 2: energy -58.2 eV for the cell shown, V 84.4 Å³ per cell. Number 3: energy -19.5 eV for the cell shown, V 70.7 Å³ per cell. Number 4: energy -22.8 eV for the cell shown, V 115.5 Å³ per cell. Number 5: energy -41.0 eV for the cell shown, V 244.4 Å³ per cell. Number 6: energy -115.9 eV for the cell shown, V 273.2 Å³ per cell. Number 7: energy -10.0 eV for the cell shown, V 100.5 Å³ per cell.